1.
# Dy3TmSc7

A relaxed structure of Dy3TmSc7 (PBE, Alexandria via LeMat-Bulk).

As for the theoretical density: 5.3 g cm⁻³. As for the formation energy: 3.34 eV per formula unit. Its symmetry is Immm.

abc: 5.443 7.952 7.952
angles: 81.99 110.05 110.05
Last column: magnetic moment on the atom in μB.
Fractional coordinates of all 11 atoms:
Dy 0.000 0.788 0.212  0.01
Dy 0.500 0.000 0.000  0.00
Dy 0.000 0.212 0.788  0.01
Tm 0.500 0.500 0.500  0.17
Sc 0.208 0.208 0.208  0.01
Sc 0.286 0.980 0.593  0.01
Sc 0.714 0.407 0.020  0.01
Sc 0.286 0.593 0.980  0.01
Sc 0.000 0.500 0.500  0.20
Sc 0.714 0.020 0.407  0.01
Sc 0.792 0.792 0.792  0.01

=====

2.
# PmDy12Sc6

A relaxed structure of PmDy12Sc6 (PBE, Alexandria via LeMat-Bulk).

As for the theoretical density: 6.5 g cm⁻³. As for the formation energy: 8.11 eV per formula unit. Its symmetry is R-3m. The value obtained for the energy above the most stable polymorph in this dataset is 3.488 eV/f.u.

abc: 9.025 9.025 9.025
angles: 107.38 107.38 107.38
Fractional coordinates of all 19 atoms:
Pm 0.000 0.000 0.000
Dy 0.888 0.112 0.500
Dy 0.378 0.152 0.378
Dy 0.378 0.378 0.152
Dy 0.848 0.622 0.622
Dy 0.622 0.622 0.848
Dy 0.622 0.848 0.622
Dy 0.500 0.888 0.112
Dy 0.112 0.500 0.888
Dy 0.112 0.888 0.500
Dy 0.500 0.112 0.888
Dy 0.888 0.500 0.112
Dy 0.152 0.378 0.378
Sc 0.692 0.275 0.692
Sc 0.692 0.692 0.275
Sc 0.275 0.692 0.692
Sc 0.308 0.308 0.725
Sc 0.308 0.725 0.308
Sc 0.725 0.308 0.308

=====

3.
# K4La3SnSe8

A relaxed structure of K4La3SnSe8 (PBE, Alexandria via LeMat-Bulk).

As for the theoretical density: 4.3 g cm⁻³. The calculation puts the formation energy without anion corrections at -1.54 eV/atom. Its symmetry is R-3m.

abc: 8.792 9.215 8.792
angles: 118.51 120.00 90.00
Fractional coordinates of all 16 atoms:
K 0.500 0.000 0.000
K 0.500 0.000 0.500
K 0.000 0.000 0.000
K 0.000 0.000 0.500
La 0.500 0.500 0.000
La 0.500 0.500 0.500
La 0.000 0.500 0.500
Sn 0.000 0.500 0.000
Se 0.232 0.709 0.977
Se 0.232 0.709 0.464
Se 0.262 0.287 0.525
Se 0.745 0.709 0.977
Se 0.255 0.291 0.023
Se 0.738 0.713 0.475
Se 0.768 0.291 0.536
Se 0.768 0.291 0.023

=====

4.
# YGaS3

A relaxed structure of YGaS3 (PBE, Alexandria via LeMat-Bulk).

As for the theoretical density: 3.8 g cm⁻³. The calculation puts the formation energy without anion corrections at -1.21 eV/atom. Its symmetry is R-3. The value obtained for the energy above the most stable polymorph in this dataset is 0.697 eV/f.u.

abc: 6.559 6.557 7.023
angles: 62.14 62.15 60.02
Fractional coordinates of all 10 atoms:
Y 0.354 0.355 0.936
Y 0.646 0.645 0.064
Ga 0.845 0.845 0.464
Ga 0.155 0.155 0.536
S 0.781 0.440 0.734
S 0.046 0.781 0.734
S 0.440 0.045 0.734
S 0.219 0.560 0.266
S 0.954 0.219 0.266
S 0.561 0.955 0.266

=====

Which value of theoretical density does entry 3 give? 4.3 g cm⁻³